# 1
Material: PmPr2In2Hg2
Method: DFT, PBE-GGA
State: optimized geometry

Structure (CIF):
```
data_PmPr2In2Hg2
_chemical_formula_sum 'Pm1 Pr2 In2 Hg2'
_symmetry_space_group_name_H-M 'P 1'
_symmetry_Int_Tables_number 1
_cell_length_a 9.949
_cell_length_b 9.949
_cell_length_c 9.949
_cell_angle_alpha 28.86
_cell_angle_beta 28.86
_cell_angle_gamma 28.86
loop_
_symmetry_equiv_pos_as_xyz
'x,y,z'
loop_
_atom_site_label
_atom_site_type_symbol
_atom_site_fract_x
_atom_site_fract_y
_atom_site_fract_z
Pm1 Pm 0.000 0.000 0.000
Pr1 Pr 0.128 0.128 0.128
Pr2 Pr 0.872 0.872 0.872
In1 In 0.260 0.260 0.260
In2 In 0.740 0.740 0.740
Hg1 Hg 0.390 0.390 0.390
Hg2 Hg 0.610 0.610 0.610
```


# 2
Material: Pm4InHg2Pt
Method: DFT, PBE-GGA
State: optimized geometry

Structure (CIF):
```
data_Pm4InHg2Pt
_chemical_formula_sum 'Pm4 In1 Hg2 Pt1'
_symmetry_space_group_name_H-M 'P 1'
_symmetry_Int_Tables_number 1
_cell_length_a 9.165
_cell_length_b 9.165
_cell_length_c 9.165
_cell_angle_alpha 33.87
_cell_angle_beta 33.87
_cell_angle_gamma 33.87
loop_
_symmetry_equiv_pos_as_xyz
'x,y,z'
loop_
_atom_site_label
_atom_site_type_symbol
_atom_site_fract_x
_atom_site_fract_y
_atom_site_fract_z
Pm1 Pm 0.114 0.114 0.114
Pm2 Pm 0.367 0.367 0.367
Pm3 Pm 0.633 0.633 0.633
Pm4 Pm 0.886 0.886 0.886
In1 In 0.500 0.500 0.500
Hg1 Hg 0.240 0.240 0.240
Hg2 Hg 0.760 0.760 0.760
Pt1 Pt 0.000 0.000 0.000
```


# 3
Material: PmPuInHg
Method: DFT, PBE-GGA
State: optimized geometry

Structure (CIF):
```
data_PmPuInHg
_chemical_formula_sum 'Pm1 Pu1 In1 Hg1'
_symmetry_space_group_name_H-M 'P 1'
_symmetry_Int_Tables_number 1
_cell_length_a 5.395
_cell_length_b 5.395
_cell_length_c 5.395
_cell_angle_alpha 60.00
_cell_angle_beta 60.00
_cell_angle_gamma 60.00
loop_
_symmetry_equiv_pos_as_xyz
'x,y,z'
loop_
_atom_site_label
_atom_site_type_symbol
_atom_site_fract_x
_atom_site_fract_y
_atom_site_fract_z
Pm1 Pm 0.000 0.000 0.000
Pu1 Pu 0.500 0.500 0.500
In1 In 0.250 0.250 0.250
Hg1 Hg 0.750 0.750 0.750
```


# 4
Material: Pm4InHg2Rh
Method: DFT, PBE-GGA
State: optimized geometry

Structure (CIF):
```
data_Pm4InHg2Rh
_chemical_formula_sum 'Pm4 In1 Hg2 Rh1'
_symmetry_space_group_name_H-M 'P 1'
_symmetry_Int_Tables_number 1
_cell_length_a 9.086
_cell_length_b 9.086
_cell_length_c 9.086
_cell_angle_alpha 34.08
_cell_angle_beta 34.08
_cell_angle_gamma 34.08
loop_
_symmetry_equiv_pos_as_xyz
'x,y,z'
loop_
_atom_site_label
_atom_site_type_symbol
_atom_site_fract_x
_atom_site_fract_y
_atom_site_fract_z
Pm1 Pm 0.113 0.113 0.113
Pm2 Pm 0.367 0.367 0.367
Pm3 Pm 0.633 0.633 0.633
Pm4 Pm 0.887 0.887 0.887
In1 In 0.500 0.500 0.500
Hg1 Hg 0.239 0.239 0.239
Hg2 Hg 0.761 0.761 0.761
Rh1 Rh 0.000 0.000 0.000
```


Number 1: energy -22.7 eV per cell, DFT formation energy -2.3 eV/f.u.. Number 2: energy -33.5 eV per cell, DFT formation energy -5.1 eV/f.u.. Number 3: energy -23.2 eV per cell, DFT formation energy -1.1 eV/f.u.. Number 4: energy -33.9 eV per cell, DFT formation energy -4.3 eV/f.u..